CePrMgSi: relaxed, PBE.

Cell lengths 5.246, 5.246, 5.246 Å; angles 60.00, 60.00, 60.00 degrees
Site moments in Bohr magnetons follow the coordinates.
Positions (direct):
Pr 0.500 0.500 0.500  0.06
Si 0.250 0.250 0.250  0.00
Mg 0.750 0.750 0.750  0.01
Ce 0.000 0.000 0.000  0.80

Calculated values
SG	F-43m, No. 216
formation energy without anion corrections	-0.21	eV per atom
mass density	5424	kg/m3

***

SrZrTl: relaxed, PBE.

Cell lengths 6.685, 6.685, 6.685 Å; angles 150.12, 141.75, 49.28 degrees
Site moments in Bohr magnetons follow the coordinates.
Positions (direct):
Sr 0.993 0.993 0.000  0.03
Tl 0.304 0.304 0.000  0.00
Zr 0.703 0.703 0.000  0.36

Calculated values
SG	Imm2, No. 44
E_form	0.49	eV/f.u.
ΔE to the lowest computed polymorph	36	meV per atom
mass density	6938	kg/m3

***

Zn2AgAu: relaxed, PBE.

Cell lengths 4.538, 4.538, 4.538 Å; angles 60.00, 60.00, 60.00 degrees
Positions (direct):
Zn 0.000 0.000 0.000
Zn 0.250 0.250 0.250
Au 0.750 0.750 0.750
Ag 0.500 0.500 0.500

Calculated values
SG	F-43m, No. 216
E_form	-0.22	eV/f.u.
ΔE to the lowest computed polymorph	89	meV per atom
mass density	10948	kg/m3

***

Sm15Dy4Ho: relaxed, PBE.

Cell lengths 5.102, 5.102, 25.456 Å; angles 90.00, 90.00, 90.00 degrees
Positions (direct):
Sm 0.500 0.500 0.000
Sm 0.500 0.500 0.200
Sm 0.500 0.500 0.400
Sm 0.500 0.500 0.600
Sm 0.500 0.500 0.800
Sm 0.500 0.000 0.100
Sm 0.500 0.000 0.300
Sm 0.500 0.000 0.500
Sm 0.500 0.000 0.700
Sm 0.500 0.000 0.900
Sm 0.000 0.500 0.100
Sm 0.000 0.500 0.300
Sm 0.000 0.500 0.500
Sm 0.000 0.500 0.700
Sm 0.000 0.500 0.900
Dy 0.000 0.000 0.200
Dy 0.000 0.000 0.400
Dy 0.000 0.000 0.600
Dy 0.000 0.000 0.800
Ho 0.000 0.000 0.000

Calculated values
SG	P4/mmm, No. 123
E_form	0.31	eV/f.u.
mass density	7693	kg/m3

***

CrGeSbI2: relaxed, PBE.

Cell lengths 5.399, 5.399, 5.348 Å; angles 90.00, 90.00, 90.00 degrees
Site moments in Bohr magnetons follow the coordinates.
Positions (direct):
I 0.000 0.500 0.000  -0.01
I 0.500 0.000 0.000  -0.01
Sb 0.000 0.000 0.500  -0.22
Ge 0.500 0.500 0.500  0.26
Cr 0.000 0.000 0.000  3.26

Calculated values
SG	P4/mmm, No. 123
formation energy without anion corrections	0.51	eV per atom
ΔE to the lowest computed polymorph	0	meV per atom
mass density	5328	kg/m3

***

CsTiCd2O4: relaxed, PBE.

Cell lengths 5.966, 5.966, 5.859 Å; angles 120.65, 120.65, 89.98 degrees
Positions (direct):
Cs 0.000 0.000 0.000
Ti 0.500 0.500 0.000
Cd 0.750 0.250 0.500
Cd 0.250 0.750 0.500
O 0.539 0.539 0.725
O 0.462 0.813 0.275
O 0.813 0.462 0.275
O 0.186 0.186 0.725

Calculated values
SG	I-42m, No. 121
formation energy without anion corrections	-1.70	eV per atom
mass density	5394	kg/m3

***

Tm3ZnHg3: relaxed, PBE.

Cell lengths 4.733, 3.601, 10.270 Å; angles 100.10, 103.32, 90.00 degrees
Positions (direct):
Tm 0.307 0.807 0.614
Tm 0.696 0.196 0.392
Tm 0.997 0.997 0.993
Zn 0.430 0.430 0.861
Hg 0.152 0.652 0.303
Hg 0.855 0.355 0.711
Hg 0.563 0.563 0.125

Calculated values
SG	Imm2, No. 44
E_form	-2.64	eV/f.u.
mass density	11634	kg/m3

***

Ca2Zr: relaxed, PBE.

Cell lengths 8.262, 8.262, 8.262 Å; angles 155.47, 155.47, 34.97 degrees
Positions (direct):
Ca 0.349 0.349 0.000
Ca 0.651 0.651 0.000
Zr 0.000 0.000 0.000

Calculated values
SG	I4/mmm, No. 139
E_form	0.96	eV/f.u.
ΔE to the lowest computed polymorph	77	meV per atom
mass density	2930	kg/m3